The following is a PBE-GGA calculation of a relaxed structure of KPuSnO6, from Alexandria via LeMat-Bulk.

- ΔE_f (raw): -17.2 eV/f.u.
- VASP energy: -7.37 eV per atom

a = 5.499 Å, b = 5.499 Å, c = 12.083 Å
α = 90.00°, β = 90.00°, γ = 120.00°
Fractional positions:
K 0.000 0.000 0.000
K 0.000 0.000 0.500
Pu 0.667 0.333 0.250
Pu 0.333 0.667 0.750
Sn 0.333 0.667 0.250
Sn 0.667 0.333 0.750
O 0.634 0.624 0.157
O 0.989 0.366 0.157
O 0.366 0.989 0.657
O 0.011 0.634 0.843
O 0.376 0.366 0.343
O 0.989 0.624 0.343
O 0.624 0.989 0.843
O 0.634 0.011 0.343
O 0.011 0.376 0.657
O 0.376 0.011 0.157
O 0.624 0.634 0.657
O 0.366 0.376 0.843